Computed, not measured: a relaxed structure of Pm6Dy2Se3 at the PBE level of DFT.

The crystal system is trigonal. As for the space group: No. 166. The calculation puts the formation energy from raw total energies at -0.90 eV/atom.

a b c (Å): 3.8975 3.8975 25.7686
angles (deg): 85.66 85.66 60.00
Atoms (fractional coordinates):
Dy 0.4444 0.4444 0.6667
Dy 0.5556 0.5556 0.3333
Pm 0.0739 0.0739 0.7784
Pm 0.8147 0.8147 0.5559
Pm 0.6420 0.6420 0.0739
Pm 0.9261 0.9261 0.2216
Pm 0.1853 0.1853 0.4441
Pm 0.3580 0.3580 0.9261
Se 0.2844 0.2844 0.1468
Se 0.0000 0.0000 0.0000
Se 0.7156 0.7156 0.8532